No. 1
# SbTeRh2 | Alexandria | GGA-PBE | relaxed
# Raw formation energy   -0.07 eV per atom
# Total DFT energy (no corrections)   -5.562 eV/atom
data_SbTeRh2
_cell_length_a 4.694
_cell_length_b 4.694
_cell_length_c 3.356
_cell_angle_alpha 90.00
_cell_angle_beta 90.00
_cell_angle_gamma 90.00
_symmetry_space_group_name_H-M 'P 4/m m m'
_symmetry_Int_Tables_number 123
_symmetry_space_group_name_Hall '-P 4 2'
loop_
_atom_site_label
_atom_site_type_symbol
_atom_site_fract_x
_atom_site_fract_y
_atom_site_fract_z
Sb1 Sb 0.000 0.000 0.000
Te1 Te 0.500 0.500 0.000
Rh1 Rh 0.000 0.500 0.500

No. 2
# Tm2ScPb3 | Alexandria | GGA-PBE | relaxed
# Relative energy among the computed polymorphs   3 meV per atom
# Energy of formation   -2.20 eV per formula unit
# Total DFT energy (no corrections)   -4.767 eV/atom
data_Tm2ScPb3
_cell_length_a 5.677
_cell_length_b 13.956
_cell_length_c 8.460
_cell_angle_alpha 90.00
_cell_angle_beta 102.09
_cell_angle_gamma 90.00
_symmetry_space_group_name_H-M 'C 1 2/m 1'
_symmetry_Int_Tables_number 12
loop_
_symmetry_equiv_pos_as_xyz
'x,y,z'
'-x,-y,-z'
'-x,y,-z'
'x,-y,z'
'x+1/2,y+1/2,z'
'-x+1/2,-y+1/2,-z'
'-x+1/2,y+1/2,-z'
'x+1/2,-y+1/2,z'
loop_
_atom_site_label
_atom_site_type_symbol
_atom_site_fract_x
_atom_site_fract_y
_atom_site_fract_z
Tm1 Tm 0.000 0.000 0.000
Tm2 Tm 0.000 0.000 0.500
Tm3 Tm 0.000 0.336 0.000
Sc1 Sc 0.000 0.331 0.500
Pb1 Pb 0.005 0.500 0.739
Pb2 Pb 0.010 0.169 0.254

No. 3
# BaHg2Se | Alexandria | GGA-PBE | relaxed
# Raw formation energy   -0.81 eV per atom
# Total DFT energy (no corrections)   -2.314 eV/atom
data_BaHg2Se
_cell_length_a 4.384
_cell_length_b 4.384
_cell_length_c 7.212
_cell_angle_alpha 90.00
_cell_angle_beta 90.00
_cell_angle_gamma 90.00
_symmetry_space_group_name_H-M 'P 4 m m'
_symmetry_Int_Tables_number 99
loop_
_symmetry_equiv_pos_as_xyz
'x,y,z'
'-y,x,z'
'-x,-y,z'
'y,-x,z'
'-x,y,z'
'y,x,z'
'x,-y,z'
'-y,-x,z'
loop_
_atom_site_label
_atom_site_type_symbol
_atom_site_fract_x
_atom_site_fract_y
_atom_site_fract_z
Ba1 Ba 0.000 0.000 0.000
Hg1 Hg 0.000 0.000 0.507
Hg2 Hg 0.500 0.500 0.421
Se1 Se 0.500 0.500 0.861

No. 4
# Zr5In | Alexandria | GGA-PBE | relaxed
# Energy of formation   -0.52 eV per formula unit
# Total DFT energy (no corrections)   -7.666 eV/atom
data_Zr5In
_cell_length_a 5.222
_cell_length_b 3.203
_cell_length_c 16.546
_cell_angle_alpha 90.00
_cell_angle_beta 90.00
_cell_angle_gamma 90.00
_symmetry_space_group_name_H-M 'A m m 2'
_symmetry_Int_Tables_number 38
loop_
_symmetry_equiv_pos_as_xyz
'x,y,z'
'-x,-y,z'
'-x,y,z'
'x,-y,z'
'x,y+1/2,z+1/2'
'-x,-y+1/2,z+1/2'
'-x,y+1/2,z+1/2'
'x,-y+1/2,z+1/2'
loop_
_atom_site_label
_atom_site_type_symbol
_atom_site_fract_x
_atom_site_fract_y
_atom_site_fract_z
Zr1 Zr 0.000 0.000 0.000
Zr2 Zr 0.000 0.000 0.327
Zr3 Zr 0.000 0.000 0.663
Zr4 Zr 0.500 0.000 0.116
Zr5 Zr 0.500 0.000 0.445
In1 In 0.500 0.000 0.777

No. 5
# Re2TcAg | Alexandria | GGA-PBE | relaxed
# Relative energy among the computed polymorphs   339 meV per atom
# Energy of formation   2.36 eV per formula unit
# Total DFT energy (no corrections)   -8.937 eV/atom
data_Re2TcAg
_cell_length_a 2.873
_cell_length_b 4.649
_cell_length_c 9.560
_cell_angle_alpha 90.00
_cell_angle_beta 90.00
_cell_angle_gamma 90.00
_symmetry_space_group_name_H-M 'I m m 2'
_symmetry_Int_Tables_number 44
loop_
_symmetry_equiv_pos_as_xyz
'x,y,z'
'-x,-y,z'
'-x,y,z'
'x,-y,z'
'x+1/2,y+1/2,z+1/2'
'-x+1/2,-y+1/2,z+1/2'
'-x+1/2,y+1/2,z+1/2'
'x+1/2,-y+1/2,z+1/2'
loop_
_atom_site_label
_atom_site_type_symbol
_atom_site_fract_x
_atom_site_fract_y
_atom_site_fract_z
Re1 Re 0.000 0.000 0.000
Re2 Re 0.000 0.500 0.274
Tc1 Tc 0.000 0.500 0.722
Ag1 Ag 0.000 0.000 0.497

No. 6
# ZnAg2Mo | Alexandria | GGA-PBE | relaxed
# Energy of formation   1.54 eV per formula unit
# Total DFT energy (no corrections)   -4.068 eV/atom
data_ZnAg2Mo
_cell_length_a 9.497
_cell_length_b 2.713
_cell_length_c 5.242
_cell_angle_alpha 90.00
_cell_angle_beta 100.27
_cell_angle_gamma 90.00
_symmetry_space_group_name_H-M 'C 1 m 1'
_symmetry_Int_Tables_number 8
loop_
_symmetry_equiv_pos_as_xyz
'x,y,z'
'x,-y,z'
'x+1/2,y+1/2,z'
'x+1/2,-y+1/2,z'
loop_
_atom_site_label
_atom_site_type_symbol
_atom_site_fract_x
_atom_site_fract_y
_atom_site_fract_z
Zn1 Zn 0.000 0.000 0.000
Ag1 Ag 0.001 0.500 0.485
Ag2 Ag 0.260 0.000 0.732
Mo1 Mo 0.243 0.500 0.219

No. 7
# LiAcAsF | Alexandria | GGA-PBE | relaxed
# Raw formation energy   -2.15 eV per atom
# Total DFT energy (no corrections)   -5.285 eV/atom
data_LiAcAsF
_cell_length_a 4.186
_cell_length_b 4.186
_cell_length_c 9.224
_cell_angle_alpha 90.00
_cell_angle_beta 90.00
_cell_angle_gamma 90.00
_symmetry_space_group_name_H-M 'P 4/n m m'
_symmetry_Int_Tables_number 129
loop_
_symmetry_equiv_pos_as_xyz
'x,y,z'
'-x,-y,-z'
'-y+1/2,x,z'
'y+1/2,-x,-z'
'-x+1/2,-y+1/2,z'
'x+1/2,y+1/2,-z'
'y,-x+1/2,z'
'-y,x+1/2,-z'
'x+1/2,-y,-z'
'-x+1/2,y,z'
'-y,-x,-z'
'y,x,z'
'-x,y+1/2,-z'
'x,-y+1/2,z'
'y+1/2,x+1/2,-z'
'-y+1/2,-x+1/2,z'
loop_
_atom_site_label
_atom_site_type_symbol
_atom_site_fract_x
_atom_site_fract_y
_atom_site_fract_z
Li1 Li 0.250 0.750 0.000
Ac1 Ac 0.250 0.250 0.319
As1 As 0.250 0.250 0.824
F1 F 0.250 0.750 0.500

No. 8
# InAgP2O | Alexandria | GGA-PBE | relaxed
# Relative energy among the computed polymorphs   26 meV per atom
# Raw formation energy   0.73 eV per atom
# Total DFT energy (no corrections)   -3.542 eV/atom
data_InAgP2O
_cell_length_a 5.176
_cell_length_b 5.176
_cell_length_c 4.018
_cell_angle_alpha 90.00
_cell_angle_beta 90.00
_cell_angle_gamma 90.00
_symmetry_space_group_name_H-M 'P 4/m m m'
_symmetry_Int_Tables_number 123
_symmetry_space_group_name_Hall '-P 4 2'
loop_
_atom_site_label
_atom_site_type_symbol
_atom_site_fract_x
_atom_site_fract_y
_atom_site_fract_z
In1 In 0.000 0.000 0.000
Ag1 Ag 0.500 0.500 0.500
P1 P 0.000 0.500 0.000
O1 O 0.000 0.000 0.500

Which of these has the lowest total DFT energy (no corrections)? Re2TcAg

Which value of total DFT energy (no corrections) does entry 1 give? -5.562 eV/atom

Which of these has the lowest total DFT energy (no corrections)? Re2TcAg